Entry 1:
Compound: BeTl2Te
Source: Alexandria via LeMat-Bulk
Functional: PBE
Structure: optimized geometry

Summary:
- mass density (kg/m³) = 7937
- formation energy without anion corrections (eV per atom) = 0.1952
- energy above the lowest structure with this stoichiometry (eV/atom) = 0.1795
- magnetic moment (μB/f.u.) = 0.00
- total energy (Ha/atom) = -0.0994

a b c (Å): 3.963 6.463 8.910
angles (deg): 90.00 90.00 90.00
Space group Cmm2 (No. 35)
Unique sites:
Be 0.000 0.000 0.000 [2 per cell]
Tl 0.000 0.000 0.529 [2 per cell]
Tl 0.000 0.500 0.222 [2 per cell]
Te 0.000 0.500 0.854 [2 per cell]

=====

Entry 2:
Compound: Sm6Dy2YEr3
Source: Alexandria via LeMat-Bulk
Functional: PBE
Structure: optimized geometry

Summary:
- mass density (kg/m³) = 7785
- calculated formation energy (eV per atom) = 0.01
- magnetic moment (μB/f.u.) = 0.00
- total energy (Ha/atom) = -0.1761

a b c (Å): 6.211 10.754 11.793
angles (deg): 90.00 100.07 90.00
Space group C2/m (No. 12)
Unique sites:
Sm 0.249 0.167 0.249 [8 per cell]
Sm 0.250 0.000 0.751 [4 per cell]
Dy 0.000 0.167 0.500 [4 per cell]
Y 0.000 0.500 0.500 [2 per cell]
Er 0.000 0.000 0.000 [2 per cell]
Er 0.000 0.333 0.000 [4 per cell]

=====

Entry 3:
Compound: PmYIn2
Source: Alexandria via LeMat-Bulk
Functional: PBE
Structure: optimized geometry

Summary:
- mass density (kg/m³) = 7005
- calculated formation energy (eV per atom) = -0.49
- magnetic moment (μB/f.u.) = 0.00
- total energy (Ha/atom) = -0.1713

a b c (Å): 5.008 5.008 4.382
angles (deg): 90.00 90.00 90.00
Space group P4/mmm (No. 123)
Unique sites:
Pm 0.000 0.000 0.000 [1 per cell]
Y 0.500 0.500 0.000 [1 per cell]
In 0.000 0.500 0.500 [2 per cell]

=====

Entry 4:
Compound: Cs2Ba2Sr
Source: Alexandria via LeMat-Bulk
Functional: PBE
Structure: optimized geometry

Summary:
- mass density (kg/m³) = 2803
- calculated formation energy (eV per atom) = 0.31
- energy above the lowest structure with this stoichiometry (eV/atom) = 0.0043
- magnetic moment (μB/f.u.) = 0.91
- total energy (Ha/atom) = -0.0417

a b c (Å): 12.238 12.238 4.970
angles (deg): 90.00 90.00 90.00
Space group P4/mbm (No. 127)
Unique sites:
Cs 0.124 0.376 0.000 [4 per cell]
Ba 0.178 0.678 0.500 [4 per cell]
Sr 0.000 0.000 0.000 [2 per cell]

=====

Entry 5:
Compound: Ti2ReCl
Source: Alexandria via LeMat-Bulk
Functional: PBE
Structure: optimized geometry

Summary:
- mass density (kg/m³) = 7966
- formation energy without anion corrections (eV per atom) = 0.3094
- energy above the lowest structure with this stoichiometry (eV/atom) = 0.0076
- magnetic moment (μB/f.u.) = 0.00
- total energy (Ha/atom) = -0.2650

a b c (Å): 6.707 6.707 5.883
angles (deg): 90.00 90.00 90.00
Space group I-42d (No. 122)
Unique sites:
Ti 0.225 0.750 0.125 [8 per cell]
Re 0.000 0.000 0.500 [4 per cell]
Cl 0.000 0.000 0.000 [4 per cell]

=====

Entry 6:
Compound: LiZr7
Source: Alexandria via LeMat-Bulk
Functional: PBE
Structure: optimized geometry

Summary:
- mass density (kg/m³) = 5957
- calculated formation energy (eV per atom) = 0.13
- magnetic moment (μB/f.u.) = 0.00
- total energy (Ha/atom) = -0.2789

a b c (Å): 8.962 8.962 8.962
angles (deg): 90.00 90.00 90.00
Space group Fm-3m (No. 225)
Unique sites:
Li 0.000 0.000 0.000 [4 per cell]
Zr 0.000 0.000 0.500 [4 per cell]
Zr 0.000 0.250 0.250 [24 per cell]

=====

Entry 7:
Compound: Tb6Nd3Tm2
Source: Alexandria via LeMat-Bulk
Functional: PBE
Structure: optimized geometry

Summary:
- mass density (kg/m³) = 7569
- calculated formation energy (eV per atom) = 0.28
- energy above the lowest structure with this stoichiometry (eV/atom) = 0.2580
- magnetic moment (μB/f.u.) = 0.00
- total energy (Ha/atom) = -0.1603

a b c (Å): 4.769 4.769 33.265
angles (deg): 90.00 90.00 90.00
Space group I4/mmm (No. 139)
Unique sites:
Tb 0.000 0.000 0.193 [4 per cell]
Tb 0.000 0.500 0.120 [8 per cell]
Nd 0.000 0.000 0.297 [4 per cell]
Nd 0.000 0.000 0.500 [2 per cell]
Tm 0.000 0.000 0.046 [4 per cell]

=====

Entry 8:
Compound: FeCoBr4
Source: Alexandria via LeMat-Bulk
Functional: PBE
Structure: optimized geometry

Summary:
- mass density (kg/m³) = 3800
- formation energy without anion corrections (eV per atom) = -0.3458
- energy above the lowest structure with this stoichiometry (eV/atom) = 0.0000
- magnetic moment (μB/f.u.) = 7.00
- total energy (Ha/atom) = -0.1490

a b c (Å): 5.951 5.951 10.720
angles (deg): 90.00 90.00 90.00
Space group P-42c (No. 112)
Unique sites:
Fe 0.000 0.500 0.250 [2 per cell]
Co 0.000 0.000 0.000 [2 per cell]
Br 0.229 0.257 0.379 [8 per cell]